Entry w
Density functional theory data (SCAN) for TaTl2Ag at its PBEsol-relaxed geometry.

Calculated values
- symmetry = Pmmm (47)

```
TaTl2Ag
1.0
3.084 0.000 0.000
0.000 4.992 0.000
0.000 0.000 5.394
Ta Tl Ag
1 2 1
direct
0.000 0.000 0.000
0.000 0.500 0.500
0.500 0.500 0.000
0.500 0.000 0.500
```

---

Entry x
Density functional theory data (SCAN) for TaTl2Ag at its PBEsol-relaxed geometry.

Calculated values
- symmetry = I-4m2 (119)

```
TaTl2Ag
1.0
4.072 0.000 0.000
0.000 4.072 0.000
0.000 0.000 9.763
Ta Tl Ag
2 4 2
direct
0.000 0.000 0.000
0.500 0.500 0.500
0.000 0.000 0.500
0.000 0.500 0.250
0.500 0.000 0.750
0.500 0.500 0.000
0.000 0.500 0.750
0.500 0.000 0.250
```

---

Tell me which of them is the most stable. Sure, it is entry w.

---

Entry w
Density functional theory data (SCAN) for TaAg2W at its PBEsol-relaxed geometry.

Calculated values
- symmetry = P4/mmm (123)

```
TaAg2W
1.0
2.700 0.000 0.000
0.000 2.700 0.000
0.000 0.000 8.943
Ta Ag W
1 2 1
direct
0.000 0.000 0.000
0.500 0.500 0.253
0.500 0.500 0.747
0.000 0.000 0.500
```

---

Entry x
Density functional theory data (SCAN) for TaAg2W at its PBEsol-relaxed geometry.

Calculated values
- symmetry = C2/m (12)

```
TaAg2W
1.0
5.366 0.000 0.000
0.000 9.739 0.000
-0.929 0.000 2.528
Ta Ag W
2 4 2
direct
0.000 0.000 0.000
0.500 0.500 0.000
0.250 0.250 0.500
0.250 0.750 0.500
0.750 0.250 0.500
0.750 0.750 0.500
0.000 0.500 0.000
0.500 0.000 0.000
```

---

Entry y
Density functional theory data (SCAN) for TaAg2W at its PBEsol-relaxed geometry.

Calculated values
- symmetry = Imm2 (44)

```
TaAg2W
1.0
2.998 0.000 0.000
0.000 4.886 0.000
0.000 0.000 9.221
Ta Ag W
2 4 2
direct
0.000 0.000 0.000
0.500 0.500 0.500
0.000 0.000 0.489
0.000 0.500 0.239
0.500 0.000 0.739
0.500 0.500 0.989
0.000 0.500 0.731
0.500 0.000 0.231
```

---

Tell me which of them is the most stable. Sure, it is entry x.

---

Entry w
Density functional theory data (SCAN) for TaAg2W at its PBEsol-relaxed geometry.

Calculated values
- symmetry = R-3m (166)

```
TaAg2W
1.0
2.789 0.000 0.000
-1.395 2.416 0.000
0.000 0.000 29.321
Ta Ag W
3 6 3
direct
0.000 0.000 0.000
0.333 0.667 0.667
0.667 0.333 0.333
0.000 0.000 0.249
0.000 0.000 0.751
0.333 0.667 0.418
0.333 0.667 0.916
0.667 0.333 0.084
0.667 0.333 0.582
0.000 0.000 0.500
0.333 0.667 0.167
0.667 0.333 0.833
```

---

Entry x
Density functional theory data (SCAN) for TaAg2W at its PBEsol-relaxed geometry.

Calculated values
- symmetry = P4/mmm (123)

```
TaAg2W
1.0
4.923 0.000 0.000
0.000 4.923 0.000
0.000 0.000 2.736
Ta Ag W
1 2 1
direct
0.000 0.000 0.000
0.000 0.500 0.500
0.500 0.000 0.500
0.500 0.500 0.000
```

---

Tell me which of them is the most stable. Sure, it is entry w.